Record 1
Y2GaCoBi | GGA-PBE | relaxed

Results
ΔH_f (0 K) ... -0.451 eV per atom
Magnetization ... 0.00 μB per formula unit
Electronic total energy ... -29.2 eV for the cell shown
Density of states at the Fermi level ... 2.935 states/eV per cell

Lattice parameters (Å, degrees): 5.191 5.191 4.568 90.00 90.00 90.00
Space group P4/mmm (No. 123)
One atom of each set of equivalent atoms:
Y  0.000  0.500  0.000 x2
Ga  0.000  0.000  0.500 x1
Co  0.000  0.000  0.000 x1
Bi  0.500  0.500  0.500 x1

=====

Record 2
KAsPdRu | GGA-PBE | relaxed

Results
ΔH_f (0 K) ... -0.160 eV per atom
Magnetization ... 0.00 μB per formula unit
Electronic total energy ... -41.7 eV for the cell shown
Density of states at the Fermi level ... 6.053 states/eV per cell

Lattice parameters (Å, degrees): 3.902 3.902 12.511 90.00 90.00 90.00
Space group P4/nmm (No. 129, origin choice 2)
One atom of each set of equivalent atoms:
K  0.250  0.250  0.218 x2
As  0.250  0.250  0.618 x2
Pd  0.250  0.750  0.000 x2
Ru  0.250  0.750  0.500 x2

=====

Record 3
SrTa2Zn | GGA-PBE | relaxed

Results
ΔH_f (0 K) ... 0.608 eV per atom
Magnetization ... 0.00 μB per formula unit
Electronic total energy ... -24.2 eV for the cell shown
Density of states at the Fermi level ... 2.875 states/eV per cell

Lattice parameters (Å, degrees): 2.942 2.942 9.660 90.00 90.00 90.00
Space group P4/mmm (No. 123)
One atom of each set of equivalent atoms:
Sr  0.000  0.000  0.000 x1
Ta  0.500  0.500  0.305 x2
Zn  0.000  0.000  0.500 x1

=====

Record 4
FeTe4As | GGA-PBE | relaxed

Results
Magnetization ... 3.63 μB per formula unit
Formation energy (no corrections) ... 1.028 eV/atom
Electronic total energy ... -78.1 eV for the cell shown
Density of states at the Fermi level ... 35.778 states/eV per cell

Lattice parameters (Å, degrees): 8.782 8.782 8.782 90.00 90.00 90.00
Space group F-43m (No. 216)
One atom of each set of equivalent atoms:
Fe  0.000  0.000  0.000 x4
Te  0.125  0.125  0.625 x16
As  0.250  0.250  0.250 x4

=====

Record 5
Ce4Th2Bi3N2 | GGA-PBE | relaxed

Results
Magnetization ... 3.82 μB per formula unit
Formation energy (no corrections) ... -0.892 eV/atom
Electronic total energy ... -153.4 eV for the cell shown
Density of states at the Fermi level ... 50.166 states/eV per cell

Lattice parameters (Å, degrees): 4.722 4.722 27.095 90.00 90.00 90.00
Space group I4/mmm (No. 139)
One atom of each set of equivalent atoms:
Ce  0.000  0.500  0.085 x8
Th  0.000  0.000  0.195 x4
Bi  0.000  0.000  0.321 x4
Bi  0.000  0.000  0.500 x2
N  0.000  0.000  0.110 x4

=====

Record 6
ThBiPbAu | GGA-PBE | relaxed

Results
ΔH_f (0 K) ... -0.265 eV per atom
Magnetization ... 0.00 μB per formula unit
Electronic total energy ... -77.4 eV for the cell shown
Density of states at the Fermi level ... 12.246 states/eV per cell

Lattice parameters (Å, degrees): 7.658 7.658 7.658 90.00 90.00 90.00
Space group F-43m (No. 216)
One atom of each set of equivalent atoms:
Th  0.000  0.000  0.000 x4
Bi  0.250  0.250  0.250 x4
Pb  0.000  0.000  0.500 x4
Au  0.250  0.250  0.750 x4

=====

> Among the records above, which one has the highest magnetization?

Ce4Th2Bi3N2